1.
Material: ZnRu2W
Method: DFT, PBEsol
State: optimized geometry

Geometry as POSCAR:
```
ZnRu2W
1.0
-1.711 -2.164 -1.307
2.074 -0.300 -2.220
2.830 -4.174 3.207
Ru Zn W
2 1 1
Direct
0.000 0.000 0.749
0.000 0.000 0.251
0.500 0.500 0.500
0.500 0.500 0.000
```

Calculated values
* calculated volume: 55.7 Å³/cell
* raw total energy: -8.9997 eV/atom
* theoretical density: 13.46 Mg/m³


2.
Material: ZnRu2W
Method: DFT, PBEsol
State: optimized geometry

Geometry as POSCAR:
```
ZnRu2W
1.0
-1.575 -0.124 2.157
-0.320 -4.209 -0.476
4.228 -0.604 2.496
Ru W Zn
2 1 1
Direct
0.755 0.000 0.740
0.245 0.000 0.260
0.500 0.500 0.000
0.000 0.500 0.500
```

Calculated values
* calculated volume: 56.0 Å³/cell
* raw total energy: -8.7292 eV/atom
* theoretical density: 13.40 Mg/m³


3.
Material: ZnRu3W
Method: DFT, PBEsol
State: optimized geometry

Geometry as POSCAR:
```
ZnRu3W
1.0
-1.482 -3.329 -2.299
3.725 -0.168 -2.159
1.578 -2.731 2.935
Ru Zn W
3 1 1
Direct
0.000 0.500 0.000
0.000 0.000 0.500
0.500 0.000 0.000
0.000 0.000 0.000
0.500 0.500 0.500
```

Calculated values
* calculated volume: 80.0 Å³/cell
* raw total energy: -7.4805 eV/atom
* theoretical density: 11.47 Mg/m³


4.
Material: Zr2RuW
Method: DFT, PBEsol
State: optimized geometry

Geometry as POSCAR:
```
Zr2RuW
1.0
-1.826 3.361 -0.479
-2.734 -1.134 2.470
4.779 0.761 2.632
Ru W Zr
1 1 2
Direct
0.500 0.500 0.000
0.250 0.750 0.500
0.000 0.000 0.000
0.750 0.250 0.500
```

Calculated values
* calculated volume: 71.1 Å³/cell
* raw total energy: -10.4700 eV/atom
* theoretical density: 10.91 Mg/m³


5.
Material: ZrRuW2
Method: DFT, PBEsol
State: optimized geometry

Geometry as POSCAR:
```
ZrRuW2
1.0
3.166 0.000 0.000
0.000 4.410 0.000
0.000 0.000 4.634
Ru W Zr
1 2 1
Direct
0.000 0.500 0.500
0.000 0.000 0.000
0.500 0.500 0.000
0.500 0.000 0.500
```

Calculated values
* calculated volume: 64.7 Å³/cell
* raw total energy: -11.7730 eV/atom
* theoretical density: 14.37 Mg/m³
* energy above the most stable polymorph in this dataset: 1.7 kJ per mole of atoms


6.
Material: ZrRuW2
Method: DFT, PBEsol
State: optimized geometry

Geometry as POSCAR:
```
ZrRuW2
1.0
3.179 0.000 0.000
0.000 3.179 0.000
0.000 0.000 6.440
Ru W Zr
1 2 1
Direct
0.500 0.500 0.758
0.000 0.000 0.005
0.500 0.500 0.232
0.000 0.000 0.505
```

Calculated values
* calculated volume: 65.1 Å³/cell
* raw total energy: -11.7908 eV/atom
* theoretical density: 14.29 Mg/m³
* energy above the most stable polymorph in this dataset: 0.0 kJ per mole of atoms


7.
Material: ZrRuW2
Method: DFT, PBEsol
State: optimized geometry

Geometry as POSCAR:
```
ZrRuW2
1.0
-2.371 -0.982 -3.680
-4.056 -1.879 0.380
-3.674 2.373 -1.001
Ru W Zr
1 2 1
Direct
0.000 0.000 0.000
0.250 0.250 0.250
0.750 0.750 0.750
0.500 0.500 0.500
```

Calculated values
* calculated volume: 63.9 Å³/cell
* raw total energy: -11.5341 eV/atom
* theoretical density: 14.56 Mg/m³
* energy above the most stable polymorph in this dataset: 24.8 kJ per mole of atoms


8.
Material: Y3Ru
Method: DFT, PBEsol
State: optimized geometry

Geometry as POSCAR:
```
Y3Ru
1.0
-0.979 -0.663 -3.166
2.376 -2.393 -0.232
-5.766 -6.019 3.042
Ru Y
1 3
Direct
0.000 0.000 0.000
0.000 0.000 0.500
0.500 0.500 0.184
0.500 0.500 0.816
```

Calculated values
* calculated volume: 101.4 Å³/cell
* raw total energy: -7.8111 eV/atom
* theoretical density: 6.03 Mg/m³